No. 1
## CsHoIr (PBE)

Data for a relaxed structure of CsHoIr.

Properties
Its total energy is -0.12497 Ha/atom. For the size of the total moment, the calculation gives 0.00 μB per formula unit. As for the relative energy among the computed polymorphs: 1.68 eV per formula unit. The symmetry is No. 216.

a = 4.892 Å, b = 4.892 Å, c = 4.892 Å
α = 60.00°, β = 60.00°, γ = 60.00°
Fractional coordinates of all 3 atoms:
Cs1 0.000 0.000 0.000
Ho1 0.250 0.250 0.250
Ir1 0.750 0.750 0.750



No. 2
## CsHoIr (PBE)

Data for a relaxed structure of CsHoIr.

Properties
Its total energy is -0.14557 Ha/atom. For the size of the total moment, the calculation gives 0.09 μB per formula unit. As for the relative energy among the computed polymorphs: 0.00 eV per formula unit. The symmetry is No. 216.

a = 4.989 Å, b = 4.989 Å, c = 4.989 Å
α = 60.00°, β = 60.00°, γ = 60.00°
Fractional coordinates of all 3 atoms:
Cs1 0.000 0.000 0.000
Ho1 0.250 0.250 0.250
Ir1 0.500 0.500 0.500



No. 3
## Cs2LaHoO4 (PBE)

Data for a relaxed structure of Cs2LaHoO4.

Properties
Its total energy is -0.23734 Ha/atom. For the size of the total moment, the calculation gives 0.01 μB per formula unit. The symmetry is No. 164.

a = 3.632 Å, b = 3.632 Å, c = 13.615 Å
α = 90.00°, β = 90.00°, γ = 120.00°
Fractional coordinates of all 8 atoms:
Cs1 0.333 0.667 0.244
Cs2 0.667 0.333 0.756
La1 0.000 0.000 0.500
Ho1 0.000 0.000 0.000
O1 0.333 0.667 0.590
O2 0.333 0.667 0.921
O3 0.667 0.333 0.079
O4 0.667 0.333 0.410



No. 4
## CsHoLu (PBE)

Data for a relaxed structure of CsHoLu.

Properties
Its total energy is -0.07369 Ha/atom. For the size of the total moment, the calculation gives 3.63 μB per formula unit. As for the relative energy among the computed polymorphs: 0.00 eV per formula unit. The symmetry is No. 216.

a = 5.876 Å, b = 5.876 Å, c = 5.876 Å
α = 60.00°, β = 60.00°, γ = 60.00°
Fractional coordinates of all 3 atoms:
Cs1 0.000 0.000 0.000
Ho1 0.250 0.250 0.250
Lu1 0.500 0.500 0.500



No. 5
## CsHoLu (PBE)

Data for a relaxed structure of CsHoLu.

Properties
Its total energy is -0.07357 Ha/atom. For the size of the total moment, the calculation gives 0.02 μB per formula unit. As for the relative energy among the computed polymorphs: 0.01 eV per formula unit. The symmetry is No. 216.

a = 5.520 Å, b = 5.520 Å, c = 5.520 Å
α = 60.00°, β = 60.00°, γ = 60.00°
Fractional coordinates of all 3 atoms:
Cs1 0.000 0.000 0.000
Ho1 0.250 0.250 0.250
Lu1 0.750 0.750 0.750



No. 6
## Cs2HoLuO4 (PBE)

Data for a relaxed structure of Cs2HoLuO4.

Properties
Its total energy is -0.23812 Ha/atom. For the size of the total moment, the calculation gives 0.00 μB per formula unit. The symmetry is No. 164.

a = 3.486 Å, b = 3.486 Å, c = 13.507 Å
α = 90.00°, β = 90.00°, γ = 120.00°
Fractional coordinates of all 8 atoms:
Cs1 0.333 0.667 0.251
Cs2 0.667 0.333 0.749
Ho1 0.000 0.000 0.000
Lu1 0.000 0.000 0.500
O1 0.333 0.667 0.580
O2 0.333 0.667 0.916
O3 0.667 0.333 0.084
O4 0.667 0.333 0.420



Question: Which of these has the highest size of the total moment?
Answer: number 4



Repeat the fourth record exactly.
## CsHoLu (PBE)

Data for a relaxed structure of CsHoLu.

Properties
Its total energy is -0.07369 Ha/atom. For the size of the total moment, the calculation gives 3.63 μB per formula unit. As for the relative energy among the computed polymorphs: 0.00 eV per formula unit. The symmetry is No. 216.

a = 5.876 Å, b = 5.876 Å, c = 5.876 Å
α = 60.00°, β = 60.00°, γ = 60.00°
Fractional coordinates of all 3 atoms:
Cs1 0.000 0.000 0.000
Ho1 0.250 0.250 0.250
Lu1 0.500 0.500 0.500